## Zn2GaPt2 (PBE-GGA)

Data for crystalline Zn2GaPt2 at its relaxed geometry.

Cell: 4.2452 4.2452 5.3586 Å, 90.00 90.00 120.00°
Last column: nearest neighbours and their distance in Å.
Fractional coordinates of all 5 atoms:
Zn1 0.3333 0.6667 0.1315  5 Pt 2.56-2.80, 3 Zn 2.83
Zn2 0.6667 0.3333 0.8685  5 Pt 2.56-2.80, 3 Zn 2.83
Ga1 0.0000 0.0000 0.5000  6 Pt 2.59
Pt1 0.3333 0.6667 0.6545  5 Zn 2.56-2.80, 3 Ga 2.59
Pt2 0.6667 0.3333 0.3455  5 Zn 2.56-2.80, 3 Ga 2.59

Energy of formation from the pure elements: -2.42 eV/f.u.
Theoretical density: 11.728 g/cm³
VASP energy: -4.016 eV per atom
SG: No. 164